The following is a PBEsol calculation of crystalline CaNi3 at its relaxed geometry, from the Alexandria database.

abc: 3.9756 6.3077 5.1249
angles: 90.00 90.00 90.00
Space group Pmmn (No. 59, origin choice 2)
Inequivalent atoms, fractional coordinates:
Ca1 0.2500 0.2500 0.1163
Ni1 0.2500 0.0607 0.6021
Ni2 0.2500 0.7500 0.3665

Computed properties:
Energy of formation from the pure elements ... -0.04 eV/atom
Electronic total energy ... -0.1907 hartree per atom
Volume ... 16.1 Å³/atom